(one)
# Ho3Tm5Th3 PBE relaxed
# Calculated density, g/cm³: 8.0
data_Ho3Tm5Th3
_symmetry_space_group_name_H-M 'P -6 2 m'
_symmetry_Int_Tables_number 189
_symmetry_space_group_name_Hall 'P -6 -2'
_cell_length_a 9.6227
_cell_length_b 9.6227
_cell_length_c 5.2976
_cell_angle_alpha 90.00
_cell_angle_beta 90.00
_cell_angle_gamma 120.00
loop_
_atom_site_label
_atom_site_fract_x
_atom_site_fract_y
_atom_site_fract_z
Ho1 0.0000 0.5686 0.0000
Tm1 0.0000 0.3697 0.5000
Tm2 0.3333 0.6667 0.5000
Th1 0.0000 0.7451 0.5000

***

(two)
# Ho3Tm5Th3 PBE relaxed
# Calculated density, g/cm³: 9.3
data_Ho3Tm5Th3
_symmetry_space_group_name_H-M 'P -6 2 m'
_symmetry_Int_Tables_number 189
_symmetry_space_group_name_Hall 'P -6 -2'
_cell_length_a 11.0668
_cell_length_b 11.0668
_cell_length_c 3.4100
_cell_angle_alpha 90.00
_cell_angle_beta 90.00
_cell_angle_gamma 120.00
loop_
_atom_site_label
_atom_site_fract_x
_atom_site_fract_y
_atom_site_fract_z
Ho1 0.0000 0.1605 0.0000
Tm1 0.0000 0.6596 0.0000
Tm2 0.3333 0.6667 0.0000
Th1 0.0000 0.4047 0.5000

***

(two) comes first in stability; the runner-up is 0.488 eV/atom higher.

***

(one)
# HoTm3Th2 PBE relaxed
# Calculated density, g/cm³: 10.2
data_HoTm3Th2
_symmetry_space_group_name_H-M 'P 1 21/m 1'
_symmetry_Int_Tables_number 11
_symmetry_space_group_name_Hall '-P 2yb'
_cell_length_a 9.9446
_cell_length_b 3.5442
_cell_length_c 10.5432
_cell_angle_alpha 90.00
_cell_angle_beta 90.09
_cell_angle_gamma 90.00
loop_
_atom_site_label
_atom_site_fract_x
_atom_site_fract_y
_atom_site_fract_z
Ho1 0.1235 0.2500 0.2510
Tm1 0.1311 0.2500 0.9180
Tm2 0.3706 0.7500 0.4178
Tm3 0.3761 0.7500 0.7507
Th1 0.1245 0.2500 0.5828
Th2 0.3775 0.7500 0.0831

***

(two)
# HoTm3Th2 PBE relaxed
# Calculated density, g/cm³: 9.9
data_HoTm3Th2
_symmetry_space_group_name_H-M 'C 1 2/m 1'
_symmetry_Int_Tables_number 12
_symmetry_space_group_name_Hall '-C 2y'
_cell_length_a 23.2500
_cell_length_b 3.4373
_cell_length_c 10.0387
_cell_angle_alpha 90.00
_cell_angle_beta 108.32
_cell_angle_gamma 90.00
loop_
_atom_site_label
_atom_site_fract_x
_atom_site_fract_y
_atom_site_fract_z
Ho1 0.1874 0.0000 0.0367
Tm1 0.0584 0.0000 0.4442
Tm2 0.0681 0.5000 0.7717
Tm3 0.1946 0.0000 0.7121
Th1 0.0714 0.5000 0.1351
Th2 0.1904 0.0000 0.3753

***

(one) comes first in stability; the runner-up is 0.120 eV/atom higher.

***

(one)
# HoTm4Th2 PBE relaxed
# Calculated density, g/cm³: 8.7
data_HoTm4Th2
_symmetry_space_group_name_H-M 'I 4/m m m'
_symmetry_Int_Tables_number 139
_symmetry_space_group_name_Hall '-I 4 2'
_cell_length_a 5.4659
_cell_length_b 5.4659
_cell_length_c 16.7184
_cell_angle_alpha 90.00
_cell_angle_beta 90.00
_cell_angle_gamma 90.00
loop_
_atom_site_label
_atom_site_fract_x
_atom_site_fract_y
_atom_site_fract_z
Ho1 0.0000 0.0000 0.0000
Tm1 0.0000 0.0000 0.1792
Tm2 0.0000 0.5000 0.0000
Th1 0.0000 0.0000 0.3846

***

(two)
# HoTm4Th2 PBE relaxed
# Calculated density, g/cm³: 9.9
data_HoTm4Th2
_symmetry_space_group_name_H-M 'P -1'
_symmetry_Int_Tables_number 2
_symmetry_space_group_name_Hall '-P 1'
_cell_length_a 3.4370
_cell_length_b 8.4783
_cell_length_c 8.6123
_cell_angle_alpha 62.28
_cell_angle_beta 89.81
_cell_angle_gamma 82.14
loop_
_atom_site_label
_atom_site_fract_x
_atom_site_fract_y
_atom_site_fract_z
Ho1 0.0000 0.0000 0.0000
Tm1 0.0413 0.4476 0.7160
Tm2 0.3745 0.8487 0.4203
Th1 0.4106 0.7194 0.8667

***

(two) comes first in stability; the runner-up is 0.707 eV/atom higher.

***

(one)
# HoTm8Th2 PBE relaxed
# Calculated density, g/cm³: 9.5
data_HoTm8Th2
_symmetry_space_group_name_H-M 'C 1 2/m 1'
_symmetry_Int_Tables_number 12
_symmetry_space_group_name_Hall '-C 2y'
_cell_length_a 16.5316
_cell_length_b 6.5034
_cell_length_c 6.5612
_cell_angle_alpha 90.00
_cell_angle_beta 99.89
_cell_angle_gamma 90.00
loop_
_atom_site_label
_atom_site_fract_x
_atom_site_fract_y
_atom_site_fract_z
Ho1 0.0000 0.0000 0.0000
Tm1 0.0859 0.2597 0.4035
Tm2 0.0898 0.5000 0.9047
Tm3 0.1992 0.0000 0.8157
Th1 0.2478 0.0000 0.3349

***

(two)
# HoTm8Th2 PBE relaxed
# Calculated density, g/cm³: 9.5
data_HoTm8Th2
_symmetry_space_group_name_H-M 'C 1 2/m 1'
_symmetry_Int_Tables_number 12
_symmetry_space_group_name_Hall '-C 2y'
_cell_length_a 8.9354
_cell_length_b 15.8646
_cell_length_c 5.8858
_cell_angle_alpha 90.00
_cell_angle_beta 123.92
_cell_angle_gamma 90.00
loop_
_atom_site_label
_atom_site_fract_x
_atom_site_fract_y
_atom_site_fract_z
Ho1 0.0000 0.0000 0.0000
Tm1 0.0000 0.2083 0.0000
Tm2 0.0718 0.5000 0.7961
Tm3 0.2175 0.1177 0.6773
Th1 0.0000 0.3065 0.5000

***

(one) comes first in stability; the runner-up is 0.013 eV/atom higher.

***

(one)
# Ho3Tm6Th PBE relaxed
# Calculated density, g/cm³: 9.1
data_Ho3Tm6Th
_symmetry_space_group_name_H-M 'R 3 2'
_symmetry_Int_Tables_number 155
_symmetry_space_group_name_Hall 'R 3 2"'
_cell_length_a 9.6928
_cell_length_b 9.6928
_cell_length_c 11.6803
_cell_angle_alpha 90.00
_cell_angle_beta 90.00
_cell_angle_gamma 120.00
loop_
_atom_site_label
_atom_site_fract_x
_atom_site_fract_y
_atom_site_fract_z
Ho1 0.0000 0.0000 0.0000
Ho2 0.0000 0.0000 0.2424
Tm1 0.0000 0.3342 0.5000
Tm2 0.0000 0.6640 0.0000
Th1 0.0000 0.0000 0.5000

***

(two)
# Ho3Tm6Th PBE relaxed
# Calculated density, g/cm³: 9.3
data_Ho3Tm6Th
_symmetry_space_group_name_H-M 'C m c 21'
_symmetry_Int_Tables_number 36
_symmetry_space_group_name_Hall 'C 2c -2'
_cell_length_a 9.3099
_cell_length_b 15.0963
_cell_length_c 8.8747
_cell_angle_alpha 90.00
_cell_angle_beta 90.00
_cell_angle_gamma 90.00
loop_
_atom_site_label
_atom_site_fract_x
_atom_site_fract_y
_atom_site_fract_z
Ho1 0.0000 0.0510 0.0000
Ho2 0.1747 0.3545 0.5114
Tm1 0.0000 0.2158 0.7408
Tm2 0.0000 0.4462 0.8724
Tm3 0.1792 0.1482 0.3554
Tm4 0.2444 0.4412 0.1842
Th1 0.0000 0.2766 0.1060

***

(two) comes first in stability; the runner-up is 0.166 eV/atom higher.

***

(one)
# Ho3Tm4Th2 PBE relaxed
# Calculated density, g/cm³: 9.7
data_Ho3Tm4Th2
_symmetry_space_group_name_H-M 'C 1 2/c 1'
_symmetry_Int_Tables_number 15
_symmetry_space_group_name_Hall '-C 2yc'
_cell_length_a 16.0831
_cell_length_b 11.5705
_cell_length_c 6.0518
_cell_angle_alpha 90.00
_cell_angle_beta 97.65
_cell_angle_gamma 90.00
loop_
_atom_site_label
_atom_site_fract_x
_atom_site_fract_y
_atom_site_fract_z
Ho1 0.0000 0.1097 0.2500
Ho2 0.1662 0.3935 0.0886
Tm1 0.0493 0.3646 0.5201
Tm2 0.2192 0.1361 0.3467
Th1 0.1143 0.1369 0.8120

***

(two)
# Ho3Tm4Th2 PBE relaxed
# Calculated density, g/cm³: 9.7
data_Ho3Tm4Th2
_symmetry_space_group_name_H-M 'C 1 2/m 1'
_symmetry_Int_Tables_number 12
_symmetry_space_group_name_Hall '-C 2y'
_cell_length_a 14.9535
_cell_length_b 5.0026
_cell_length_c 7.8612
_cell_angle_alpha 90.00
_cell_angle_beta 108.32
_cell_angle_gamma 90.00
loop_
_atom_site_label
_atom_site_fract_x
_atom_site_fract_y
_atom_site_fract_z
Ho1 0.0000 0.0000 0.0000
Ho2 0.1125 0.0000 0.6732
Tm1 0.0555 0.5000 0.3339
Tm2 0.2220 0.0000 0.3293
Th1 0.1676 0.5000 0.0005

***

(two) comes first in stability; the runner-up is 0.090 eV/atom higher.